# 1
VASP calculation (PBE-GGA) on a relaxed structure of CaIBr.

```
data_CaIBr
_symmetry_space_group_name_H-M 'P 1'
_symmetry_Int_Tables_number 1
_cell_length_a 4.416
_cell_length_b 4.416
_cell_length_c 7.695
_cell_angle_alpha 75.19
_cell_angle_beta 75.44
_cell_angle_gamma 60.09
loop_
_symmetry_equiv_pos_as_xyz
'x,y,z'
loop_
_atom_site_label
_atom_site_fract_x
_atom_site_fract_y
_atom_site_fract_z
Ca1 0.541 0.130 0.292
Br1 0.817 0.403 0.492
I1 0.279 0.872 0.041
```

Values from the calculation:
**E**: -3.5695 eV per atom
**DOS(E_F)**: 0.00 states/eV per cell
**E_form (uncorrected)**: -176.4 kJ/mol of atoms
**V**: 124.4 Å³/f.u.
**Energy above the most stable polymorph in this dataset**: 0.005 eV/atom

# 2
VASP calculation (PBE-GGA) on a relaxed structure of CaIBr2.

```
data_CaIBr2
_symmetry_space_group_name_H-M 'P 1'
_symmetry_Int_Tables_number 1
_cell_length_a 4.500
_cell_length_b 7.702
_cell_length_c 10.387
_cell_angle_alpha 69.55
_cell_angle_beta 78.21
_cell_angle_gamma 89.79
loop_
_symmetry_equiv_pos_as_xyz
'x,y,z'
loop_
_atom_site_label
_atom_site_fract_x
_atom_site_fract_y
_atom_site_fract_z
Br1 0.173 0.966 0.163
Br2 0.309 0.443 0.870
Br3 0.691 0.557 0.130
Br4 0.827 0.034 0.837
I1 0.551 0.179 0.405
I2 0.449 0.821 0.595
Ca1 0.726 0.218 0.047
Ca2 0.274 0.782 0.953
```

Values from the calculation:
**E**: -3.2052 eV per atom
**DOS(E_F)**: 0.00 states/eV per cell
**E_form (uncorrected)**: -142.9 kJ/mol of atoms
**V**: 164.6 Å³/f.u.
**Energy above the most stable polymorph in this dataset**: 0.006 eV/atom